No. 1
# MgCuNiGe2

MgCuNiGe2 after structural relaxation (PBEsol, the Alexandria database).

Lattice parameters (Å, degrees): 4.411 4.411 4.558 90.00 90.00 90.00
Fractional coordinates of all 5 atoms:
Mg1 0.000 0.000 0.000
Cu1 0.500 0.500 0.000
Ni1 0.500 0.500 0.500
Ge1 0.000 0.500 0.500
Ge2 0.500 0.000 0.500

Output
E_tot	-0.312	Ry per atom

No. 2
# MgCuGe2O6

MgCuGe2O6 after structural relaxation (PBEsol, the Alexandria database).

Lattice parameters (Å, degrees): 6.578 6.578 5.145 98.12 98.12 86.00
Fractional coordinates of all 20 atoms:
Mg1 0.233 0.767 0.750
Mg2 0.767 0.233 0.250
Cu1 0.405 0.595 0.250
Cu2 0.595 0.405 0.750
Ge1 0.105 0.294 0.798
Ge2 0.294 0.105 0.298
Ge3 0.706 0.895 0.702
Ge4 0.895 0.706 0.202
O1 0.067 0.209 0.106
O2 0.125 0.637 0.380
O3 0.209 0.067 0.606
O4 0.295 0.476 0.876
O5 0.363 0.875 0.120
O6 0.476 0.295 0.376
O7 0.524 0.705 0.624
O8 0.637 0.125 0.880
O9 0.705 0.524 0.124
O10 0.791 0.933 0.394
O11 0.875 0.363 0.620
O12 0.933 0.791 0.894

Output
uncorrected formation energy	-1.6431	eV per atom

| no. | magnetization (μB/f.u.) |
| --- | --- |
| 1 | 0.0 |
| 2 | 1.0 |